(1)
The following is a DFT calculation (PBE-GGA) of a relaxed La2NiIrC crystal.

Computed properties:
- Final energy: -0.259 Ha/atom
- V: 20.10 A^3/atom
- ΔE_f: -1.6 eV per formula unit

Structure (CIF):
```
data_La2NiIrC
_space_group_name_H-M_alt 'P 4/m m m'
_space_group_IT_number 123
_space_group_name_Hall '-P 4 2'
_cell_length_a 5.278
_cell_length_b 5.278
_cell_length_c 3.608
_cell_angle_alpha 90.00
_cell_angle_beta 90.00
_cell_angle_gamma 90.00
loop_
_atom_site_label
_atom_site_type_symbol
_atom_site_fract_x
_atom_site_fract_y
_atom_site_fract_z
_atom_site_occupancy
La1 La 0.000 0.500 0.000 1
Ni1 Ni 0.000 0.000 0.500 1
Ir1 Ir 0.500 0.500 0.500 1
C1 C 0.000 0.000 0.000 1
```

=====

(2)
The following is a DFT calculation (PBE-GGA) of a relaxed La2NiIrC crystal.

Computed properties:
- Final energy: -0.260 Ha/atom
- V: 21.53 A^3/atom
- ΔE_f: -1.6 eV per formula unit

Structure (CIF):
```
data_La2NiIrC
_space_group_name_H-M_alt 'P 4/m m m'
_space_group_IT_number 123
_space_group_name_Hall '-P 4 2'
_cell_length_a 5.290
_cell_length_b 5.290
_cell_length_c 3.847
_cell_angle_alpha 90.00
_cell_angle_beta 90.00
_cell_angle_gamma 90.00
loop_
_atom_site_label
_atom_site_type_symbol
_atom_site_fract_x
_atom_site_fract_y
_atom_site_fract_z
_atom_site_occupancy
La1 La 0.000 0.500 0.000 1
Ni1 Ni 0.000 0.000 0.500 1
Ir1 Ir 0.500 0.500 0.500 1
C1 C 0.500 0.500 0.000 1
```

=====

Record order is preserved below.
Theoretical density: 8.93; 8.34 Mg/m³